Na4Cr3PtO8: relaxed, GGA+U.

- uncorrected energy (eV per formula unit) = -99.3

```
Na4Cr3PtO8
1.0
5.442 -3.053 0.000
5.442 3.053 0.000
-3.473 0.000 5.383
Na Cr Pt O
4 3 1 8
Direct
0.000 0.000 0.000
0.000 0.500 0.000
0.500 0.000 0.000
0.500 0.500 0.000
0.000 0.000 0.500
0.000 0.500 0.500
0.500 0.000 0.500
0.500 0.500 0.500
0.224 0.729 0.694
0.229 0.229 0.697
0.241 0.241 0.282
0.271 0.776 0.306
0.729 0.224 0.694
0.759 0.759 0.718
0.771 0.771 0.303
0.776 0.271 0.306
```